Ca2NiH: optimized geometry, PBE.

abc: 6.6298 6.6298 5.9812
angles: 56.34 56.34 90.00
Sites, in units of the cell vectors:
H 0.5000 0.5000 0.0000
Ca 0.1883 0.6250 0.2500
Ca 0.3750 0.4383 0.7500
Ca 0.5617 0.1250 0.2500
Ni 0.0000 0.0000 0.0000
Ni 0.7500 0.2500 0.5000
Ca 0.8750 0.8117 0.7500
H 0.2500 0.7500 0.5000

Calculated values
As for the total DFT energy (no corrections): -26.5 eV for the cell shown.

CsY2BPb: optimized geometry, PBE.

abc: 6.0067 4.9193 6.0067
angles: 90.00 90.00 90.00
Sites, in units of the cell vectors:
Pb 0.0000 0.0000 0.0000
Y 0.0000 0.0000 0.5000
Cs 0.5000 0.5000 0.5000
B 0.0000 0.5000 0.0000
Y 0.5000 0.0000 0.0000

Calculated values
The formation energy comes out at 5.6 eV per formula unit.

LaMgCl2: optimized geometry, PBE.

abc: 6.2755 6.2755 7.7650
angles: 66.17 66.17 90.00
Sites, in units of the cell vectors:
Mg 0.5000 0.5000 0.0000
Cl 0.8750 0.8070 0.7500
Mg 0.2500 0.7500 0.5000
La 0.0000 0.0000 0.0000
Cl 0.3750 0.4430 0.7500
Cl 0.5570 0.1250 0.2500
La 0.7500 0.2500 0.5000
Cl 0.1930 0.6250 0.2500

Calculated values
Its excess energy over the best structure of this formula in the dataset is 0.484 eV per atom.

Ac2Cd5In3: optimized geometry, PBE.

abc: 4.7935 4.7935 12.0991
angles: 90.00 90.00 90.00
Sites, in units of the cell vectors:
In 0.5000 0.0000 0.6423
In 0.0000 0.0000 0.5000
Cd 0.5000 0.5000 0.5000
Cd 0.5000 0.5000 0.0000
Cd 0.0000 0.0000 0.0000
Ac 0.5000 0.0000 0.2484
Ac 0.0000 0.5000 0.7516
In 0.0000 0.5000 0.3577
Cd 0.0000 0.5000 0.1295
Cd 0.5000 0.0000 0.8705

Calculated values
The formation energy comes out at -3.0 eV per formula unit. Its excess energy over the best structure of this formula in the dataset is 0.018 eV per atom.

Repeat the first record exactly.
Ca2NiH: optimized geometry, PBE.

abc: 6.6298 6.6298 5.9812
angles: 56.34 56.34 90.00
Sites, in units of the cell vectors:
H 0.5000 0.5000 0.0000
Ca 0.1883 0.6250 0.2500
Ca 0.3750 0.4383 0.7500
Ca 0.5617 0.1250 0.2500
Ni 0.0000 0.0000 0.0000
Ni 0.7500 0.2500 0.5000
Ca 0.8750 0.8117 0.7500
H 0.2500 0.7500 0.5000

Calculated values
As for the total DFT energy (no corrections): -26.5 eV for the cell shown.